Crystalline Np2Al3Au3 at its relaxed geometry. Source: Alexandria via LeMat-Bulk, functional PBE-GGA.

Structure (CIF):
```
data_Np2Al3Au3
_symmetry_space_group_name_H-M 'P -6 2 m'
_symmetry_Int_Tables_number 189
_symmetry_space_group_name_Hall 'P -6 -2'
_cell_length_a 8.1226
_cell_length_b 8.1226
_cell_length_c 2.8915
_cell_angle_alpha 90.00
_cell_angle_beta 90.00
_cell_angle_gamma 120.00
loop_
_atom_site_label
_atom_site_type_symbol
_atom_site_fract_x
_atom_site_fract_y
_atom_site_fract_z
Np1 Np 0.3333 0.6667 0.0000
Al1 Al 0.0000 0.2489 0.0000
Au1 Au 0.0000 0.6988 0.5000
```

## Properties
total magnetization = 9.50 μB/f.u.
crystal system = hexagonal
density of states at the Fermi level = 10.25 states/eV per cell
DFT formation energy = -0.0428 eV/atom